First-principles (PBE) data for AcAlRh2 after structural relaxation, as listed in Alexandria via LeMat-Bulk.

Lattice parameters (Å, degrees): 3.2565 3.2565 7.1523 90.00 90.00 90.00
Element x y z (fractional)
Ac 0.0000 0.0000 0.0000
Al 0.0000 0.0000 0.5000
Rh 0.5000 0.5000 0.3063
Rh 0.5000 0.5000 0.6937

The calculation puts the energy of formation at -0.5539 eV per atom. The space group is P4/mmm (123).

First-principles (PBE) data for AcAl2Rh after structural relaxation, as listed in Alexandria via LeMat-Bulk.

Lattice parameters (Å, degrees): 4.2646 7.4675 5.9539 90.00 110.74 90.00
Element x y z (fractional)
Ac 0.0519 0.2500 0.1036
Ac 0.9481 0.7500 0.8964
Al 0.3243 0.0596 0.6485
Al 0.3243 0.4404 0.6485
Al 0.6757 0.5596 0.3515
Al 0.6757 0.9404 0.3515
Rh 0.2175 0.7500 0.4354
Rh 0.7825 0.2500 0.5646

The calculation puts the energy of formation at -0.7276 eV per atom. The space group is P2_1/m (11). The polymorph energy (0 for the lowest one) is 0 meV per atom.

First-principles (PBE) data for Ac2AlRh2 after structural relaxation, as listed in Alexandria via LeMat-Bulk.

Lattice parameters (Å, degrees): 6.0842 6.0842 7.8582 102.07 102.07 59.02
Element x y z (fractional)
Ac 0.0128 0.2849 0.1506
Ac 0.2849 0.0128 0.6506
Ac 0.7151 0.9872 0.3494
Ac 0.9872 0.7151 0.8494
Al 0.3885 0.6115 0.2500
Al 0.6115 0.3885 0.7500
Rh 0.2420 0.5027 0.4922
Rh 0.4973 0.7580 0.0078
Rh 0.5027 0.2420 0.9922
Rh 0.7580 0.4973 0.5078

The calculation puts the energy of formation at -0.7395 eV per atom. The space group is C2/c (15).

First-principles (PBE) data for AcAl3Rh after structural relaxation, as listed in Alexandria via LeMat-Bulk.

Lattice parameters (Å, degrees): 4.8046 4.8046 4.8046 90.00 90.00 90.00
Element x y z (fractional)
Ac 0.0000 0.0000 0.0000
Al 0.0000 0.5000 0.5000
Al 0.5000 0.0000 0.5000
Al 0.5000 0.5000 0.0000
Rh 0.5000 0.5000 0.5000

The calculation puts the energy of formation at -0.5056 eV per atom. The space group is Pm-3m (221). The polymorph energy (0 for the lowest one) is 142 meV per atom.

First-principles (PBE) data for Ac3Al4Rh4 after structural relaxation, as listed in Alexandria via LeMat-Bulk.

Lattice parameters (Å, degrees): 8.5415 8.5415 8.5415 152.03 126.11 61.81
Element x y z (fractional)
Ac 0.0000 0.0000 0.0000
Ac 0.3819 0.8819 0.5000
Ac 0.6181 0.1181 0.5000
Al 0.0116 0.3216 0.6900
Al 0.3684 0.6784 0.6900
Al 0.6316 0.3216 0.3100
Al 0.9884 0.6784 0.3100
Rh 0.2211 0.2211 0.0000
Rh 0.2792 0.5000 0.7792
Rh 0.7208 0.5000 0.2208
Rh 0.7789 0.7789 0.0000

The calculation puts the energy of formation at -0.7451 eV per atom. The space group is Immm (71).

First-principles (PBE) data for AcAl6Rh3 after structural relaxation, as listed in Alexandria via LeMat-Bulk.

Lattice parameters (Å, degrees): 7.0900 6.6401 8.4757 90.00 116.82 90.00
Element x y z (fractional)
Ac 0.0000 0.0000 0.0000
Ac 0.0000 0.5000 0.5000
Al 0.1453 0.0103 0.6804
Al 0.1453 0.4897 0.1804
Al 0.3225 0.6673 0.8996
Al 0.3225 0.8327 0.3996
Al 0.4494 0.2051 0.2550
Al 0.4494 0.2949 0.7550
Al 0.5506 0.7051 0.2450
Al 0.5506 0.7949 0.7450
Al 0.6775 0.1673 0.6004
Al 0.6775 0.3327 0.1004
Al 0.8547 0.5103 0.8196
Al 0.8547 0.9897 0.3196
Rh 0.2223 0.1690 0.4269
Rh 0.2223 0.3310 0.9269
Rh 0.5000 0.0000 0.0000
Rh 0.5000 0.5000 0.5000
Rh 0.7777 0.6690 0.0731
Rh 0.7777 0.8310 0.5731

The calculation puts the energy of formation at -0.6452 eV per atom. The space group is P2_1/c (14).

First-principles (PBE) data for AcAl2Rh2 after structural relaxation, as listed in Alexandria via LeMat-Bulk.

Lattice parameters (Å, degrees): 6.5425 6.5425 6.5425 143.35 143.35 52.80
Element x y z (fractional)
Ac 0.0000 0.0000 0.0000
Al 0.2500 0.7500 0.5000
Al 0.7500 0.2500 0.5000
Rh 0.3761 0.3761 0.0000
Rh 0.6239 0.6239 0.0000

The calculation puts the energy of formation at -0.8468 eV per atom. The space group is I4/mmm (139).

First-principles (PBE) data for AcAl3Rh after structural relaxation, as listed in Alexandria via LeMat-Bulk.

Lattice parameters (Å, degrees): 8.6065 4.2969 11.3372 90.00 90.00 90.00
Element x y z (fractional)
Ac 0.1800 0.2500 0.0100
Ac 0.3200 0.7500 0.5100
Ac 0.6800 0.2500 0.4900
Ac 0.8200 0.7500 0.9900
Al 0.0505 0.2500 0.5809
Al 0.1230 0.7500 0.7723
Al 0.1402 0.7500 0.2277
Al 0.3598 0.2500 0.7277
Al 0.3770 0.2500 0.2723
Al 0.4495 0.7500 0.0809
Al 0.5505 0.2500 0.9191
Al 0.6230 0.7500 0.7277
Al 0.6402 0.7500 0.2723
Al 0.8598 0.2500 0.7723
Al 0.8770 0.2500 0.2277
Al 0.9495 0.7500 0.4191
Rh 0.1052 0.2500 0.3547
Rh 0.3948 0.7500 0.8547
Rh 0.6052 0.2500 0.1453
Rh 0.8948 0.7500 0.6453

The calculation puts the energy of formation at -0.6472 eV per atom. The space group is Pnma (62). The polymorph energy (0 for the lowest one) is 0 meV per atom.

First-principles (PBE) data for AcAl11Rh after structural relaxation, as listed in Alexandria via LeMat-Bulk.

Lattice parameters (Å, degrees): 6.9188 6.9188 7.4125 97.19 97.19 135.67
Element x y z (fractional)
Ac 0.0000 0.0000 0.0000
Al 0.0000 0.0000 0.5000
Al 0.0000 0.5000 0.0000
Al 0.0084 0.3593 0.3617
Al 0.2735 0.4982 0.7614
Al 0.3593 0.0084 0.3617
Al 0.4982 0.2735 0.7614
Al 0.5000 0.0000 0.0000
Al 0.5018 0.7265 0.2386
Al 0.6407 0.9916 0.6383
Al 0.7265 0.5018 0.2386
Al 0.9916 0.6407 0.6383
Rh 0.5000 0.5000 0.5000

The calculation puts the energy of formation at -0.3001 eV per atom. The space group is C2/m (12).

First-principles (PBE) data for AcAl2Rh after structural relaxation, as listed in Alexandria via LeMat-Bulk.

Lattice parameters (Å, degrees): 3.2867 3.2867 7.6535 90.00 90.00 90.00
Element x y z (fractional)
Ac 0.0000 0.0000 0.0000
Al 0.5000 0.5000 0.3255
Al 0.5000 0.5000 0.6745
Rh 0.0000 0.0000 0.5000

The calculation puts the energy of formation at -0.4461 eV per atom. The space group is P4/mmm (123). The polymorph energy (0 for the lowest one) is 281 meV per atom.

First-principles (PBE) data for AcAl4Rh after structural relaxation, as listed in Alexandria via LeMat-Bulk.

Lattice parameters (Å, degrees): 7.8541 4.2040 7.3835 90.00 90.00 90.00
Element x y z (fractional)
Ac 0.2500 0.0000 0.1108
Ac 0.7500 0.0000 0.8892
Al 0.0000 0.0000 0.5000
Al 0.0659 0.5000 0.7793
Al 0.2500 0.5000 0.4534
Al 0.4341 0.5000 0.7793
Al 0.5000 0.0000 0.5000
Al 0.5659 0.5000 0.2207
Al 0.7500 0.5000 0.5466
Al 0.9341 0.5000 0.2207
Rh 0.2500 0.0000 0.6833
Rh 0.7500 0.0000 0.3167

The calculation puts the energy of formation at -0.6260 eV per atom. The space group is Pmma (51).

First-principles (PBE) data for AcAl3Rh2 after structural relaxation, as listed in Alexandria via LeMat-Bulk.

Lattice parameters (Å, degrees): 6.5272 6.5272 5.6581 90.00 90.00 73.87
Element x y z (fractional)
Ac 0.1544 0.8456 0.7500
Ac 0.8456 0.1544 0.2500
Al 0.0248 0.5864 0.2500
Al 0.4136 0.9752 0.2500
Al 0.4336 0.5664 0.2500
Al 0.5664 0.4336 0.7500
Al 0.5864 0.0248 0.7500
Al 0.9752 0.4136 0.7500
Rh 0.3024 0.3024 0.0000
Rh 0.3024 0.3024 0.5000
Rh 0.6976 0.6976 0.0000
Rh 0.6976 0.6976 0.5000

The calculation puts the energy of formation at -0.8348 eV per atom. The space group is Cmcm (63).

First-principles (PBE) data for AcAl2Rh after structural relaxation, as listed in Alexandria via LeMat-Bulk.

Lattice parameters (Å, degrees): 6.3090 6.3090 6.3090 39.63 39.63 39.63
Element x y z (fractional)
Ac 0.0000 0.0000 0.0000
Al 0.2008 0.2008 0.2008
Al 0.7992 0.7992 0.7992
Rh 0.5000 0.5000 0.5000

The calculation puts the energy of formation at -0.6705 eV per atom. The space group is R-3m (166). The polymorph energy (0 for the lowest one) is 57 meV per atom.

First-principles (PBE) data for AcAl5Rh3 after structural relaxation, as listed in Alexandria via LeMat-Bulk.

Lattice parameters (Å, degrees): 6.8359 6.8359 12.5705 90.00 90.00 145.54
Element x y z (fractional)
Ac 0.1595 0.8405 0.7500
Ac 0.8405 0.1595 0.2500
Al 0.0000 0.0000 0.0000
Al 0.0000 0.0000 0.5000
Al 0.2004 0.7996 0.0602
Al 0.2004 0.7996 0.4398
Al 0.4404 0.5596 0.6466
Al 0.4404 0.5596 0.8534
Al 0.5596 0.4404 0.1466
Al 0.5596 0.4404 0.3534
Al 0.7996 0.2004 0.5602
Al 0.7996 0.2004 0.9398
Rh 0.1207 0.8793 0.2500
Rh 0.3909 0.6091 0.0432
Rh 0.3909 0.6091 0.4568
Rh 0.6091 0.3909 0.5432
Rh 0.6091 0.3909 0.9568
Rh 0.8793 0.1207 0.7500

The calculation puts the energy of formation at -0.7841 eV per atom. The space group is Cmcm (63).

First-principles (PBE) data for Ac2AlSbRh6 after structural relaxation, as listed in Alexandria via LeMat-Bulk.

Lattice parameters (Å, degrees): 6.1759 6.6742 6.7941 60.90 89.92 63.56
Element x y z (fractional)
Ac 0.1272 0.0888 0.2206
Ac 0.8728 0.9112 0.7794
Al 0.5000 0.5000 0.0000
Sb 0.0000 0.5000 0.5000
Rh 0.3366 0.9829 0.7013
Rh 0.3984 0.2710 0.8474
Rh 0.4210 0.4122 0.3885
Rh 0.5790 0.5878 0.6115
Rh 0.6016 0.7290 0.1526
Rh 0.6634 0.0171 0.2987

The space group is P-1 (2). The calculation puts the uncorrected formation energy at -5.31 eV/f.u.

First-principles (PBE) data for Ac2AlSi3Rh4 after structural relaxation, as listed in Alexandria via LeMat-Bulk.

Lattice parameters (Å, degrees): 4.2499 4.2499 10.4078 90.00 90.00 90.00
Element x y z (fractional)
Ac 0.0000 0.5000 0.2479
Ac 0.5000 0.0000 0.7521
Al 0.5000 0.5000 0.0000
Si 0.0000 0.0000 0.0000
Si 0.0000 0.5000 0.6208
Si 0.5000 0.0000 0.3792
Rh 0.0000 0.0000 0.5000
Rh 0.0000 0.5000 0.8689
Rh 0.5000 0.0000 0.1311
Rh 0.5000 0.5000 0.5000

The space group is P-4m2 (115). The calculation puts the uncorrected formation energy at -9.44 eV/f.u.

First-principles (PBE) data for AcAlSiRh6 after structural relaxation, as listed in Alexandria via LeMat-Bulk.

Lattice parameters (Å, degrees): 7.9735 7.9735 7.9735 134.32 108.64 88.96
Element x y z (fractional)
Ac 0.4204 0.1704 0.2500
Ac 0.5796 0.8296 0.7500
Al 0.0000 0.0000 0.5000
Al 0.0000 0.5000 0.0000
Si 0.0000 0.5000 0.5000
Si 0.5000 0.5000 0.0000
Rh 0.1147 0.3596 0.2095
Rh 0.1147 0.9052 0.7551
Rh 0.1629 0.9129 0.2500
Rh 0.3171 0.5671 0.7500
Rh 0.3499 0.0948 0.7095
Rh 0.3499 0.6404 0.2551
Rh 0.6501 0.3596 0.7449
Rh 0.6501 0.9052 0.2905
Rh 0.6829 0.4329 0.2500
Rh 0.8371 0.0871 0.7500
Rh 0.8853 0.0948 0.2449
Rh 0.8853 0.6404 0.7905

The space group is Imma (74). The calculation puts the uncorrected formation energy at -1.90 eV/f.u.

First-principles (PBE) data for AcAlSi2Rh after structural relaxation, as listed in Alexandria via LeMat-Bulk.

Lattice parameters (Å, degrees): 6.1335 6.1335 6.1335 139.77 139.77 58.20
Element x y z (fractional)
Ac 0.0000 0.0000 0.0000
Al 0.7500 0.2500 0.5000
Si 0.3794 0.3794 0.0000
Si 0.6206 0.6206 0.0000
Rh 0.2500 0.7500 0.5000

The space group is I-4m2 (119). The calculation puts the uncorrected formation energy at -3.71 eV/f.u.

First-principles (PBE) data for Ac2Al4Si3Rh after structural relaxation, as listed in Alexandria via LeMat-Bulk.

Lattice parameters (Å, degrees): 4.4583 4.4583 10.2835 90.00 90.00 90.00
Element x y z (fractional)
Ac 0.0000 0.5000 0.2413
Ac 0.5000 0.0000 0.7587
Al 0.0000 0.0000 0.5000
Al 0.0000 0.5000 0.8833
Al 0.5000 0.0000 0.1167
Al 0.5000 0.5000 0.5000
Si 0.0000 0.0000 0.0000
Si 0.0000 0.5000 0.6282
Si 0.5000 0.0000 0.3718
Rh 0.5000 0.5000 0.0000

The space group is P-4m2 (115). The calculation puts the uncorrected formation energy at -4.73 eV/f.u.

First-principles (PBE) data for AcAl2SiRh after structural relaxation, as listed in Alexandria via LeMat-Bulk.

Lattice parameters (Å, degrees): 6.2853 6.2853 6.2853 141.28 139.44 57.32
Element x y z (fractional)
Ac 0.0000 0.0000 0.0000
Al 0.3723 0.3723 0.0000
Al 0.7433 0.2433 0.5000
Si 0.6146 0.6146 0.0000
Rh 0.2377 0.7377 0.5000

The space group is Imm2 (44). The calculation puts the uncorrected formation energy at -3.33 eV/f.u.

no.,final energy (Ry/atom)
1,-0.455
2,-0.402
3,-0.446
4,-0.371
5,-0.434
6,-0.405
7,-0.449
8,-0.381
9,-0.320
10,-0.381
11,-0.370
12,-0.429
13,-0.397
14,-0.424
15,-0.481
16,-0.493
17,-0.484
18,-0.438
19,-0.379
20,-0.407